# 1
An optimized crystal structure of Ba2ZnS3, computed with PBEsol.

Crystal system: orthorhombic
D(E_F): 0.000 states/eV/atom
Space-group type: No. 62
Final energy: -116.63 eV per cell

abc: 4.226 8.744 16.888
angles: 90.00 90.00 90.00
Element x y z (fractional)
Zn 0.250 0.135 0.635
S 0.750 0.128 0.072
Zn 0.750 0.865 0.365
S 0.750 0.320 0.272
S 0.250 0.372 0.572
S 0.750 0.628 0.428
S 0.750 0.820 0.228
S 0.250 0.680 0.728
Ba 0.250 0.082 0.213
Ba 0.750 0.252 0.456
Ba 0.250 0.248 0.956
S 0.250 0.992 0.398
Ba 0.750 0.918 0.787
S 0.750 0.508 0.898
S 0.750 0.008 0.602
Ba 0.250 0.748 0.544
Ba 0.750 0.418 0.713
S 0.250 0.872 0.928
Zn 0.250 0.635 0.865
S 0.250 0.180 0.772
S 0.250 0.492 0.102
Ba 0.250 0.582 0.287
Ba 0.750 0.752 0.044
Zn 0.750 0.365 0.135

# 2
An optimized crystal structure of Ba4Zr3S10, computed with PBEsol.

Crystal system: tetragonal
D(E_F): 0.025 states/eV/atom
Space-group type: No. 139
Final energy: -111.76 eV per cell

abc: 4.970 4.970 18.023
angles: 97.93 97.93 90.00
Element x y z (fractional)
Zr 0.857 0.857 0.714
Ba 0.301 0.301 0.601
Zr 0.143 0.143 0.286
S 0.639 0.139 0.278
Ba 0.433 0.433 0.865
S 0.787 0.787 0.573
S 0.000 0.500 0.000
S 0.361 0.861 0.722
Ba 0.699 0.699 0.399
S 0.139 0.639 0.278
Zr 0.000 0.000 0.000
S 0.213 0.213 0.427
S 0.071 0.071 0.141
S 0.929 0.929 0.859
Ba 0.567 0.567 0.135
S 0.500 0.000 0.000
S 0.861 0.361 0.722

# 3
An optimized crystal structure of Ba5Sb3, computed with PBEsol.

Crystal system: tetragonal
D(E_F): 0.678 states/eV/atom
Space-group type: No. 140
Final energy: -63.90 eV per cell

abc: 6.907 10.113 10.113
angles: 83.30 70.03 70.03
Site moments in Bohr magnetons follow the coordinates.
Element x y z (fractional)
Ba 0.213 0.872 0.701  0.04
Ba 0.086 0.701 0.128  0.04
Ba 0.787 0.128 0.299  0.04
Sb 0.158 0.183 0.500  -0.01
Ba 0.586 0.128 0.701  0.04
Ba 0.914 0.299 0.872  0.04
Ba 0.750 0.500 0.500  0.10
Sb 0.342 0.500 0.817  -0.01
Ba 0.414 0.872 0.299  0.04
Sb 0.658 0.500 0.183  -0.01
Ba 0.713 0.701 0.872  0.04
Sb 0.250 0.000 0.000  0.00
Ba 0.250 0.500 0.500  0.10
Sb 0.750 0.000 0.000  0.00
Ba 0.287 0.299 0.128  0.04
Sb 0.842 0.817 0.500  -0.01